(1)
## LaCdW2 (PBE-GGA)

Data for a geometry-optimized LaCdW2 structure.

The structure in POSCAR format:
```
LaCdW2
1.0
-5.345 -2.328 0.890
4.707 -3.546 0.226
0.115 -0.573 2.799
Cd W La
1 2 1
direct
0.500 0.000 0.500 Cd
0.000 0.000 0.000 W
0.500 0.500 0.000 W
0.000 0.500 0.500 La
```

magnetic moment = 0.00 μB per cell
SG = C2/m, No. 12

(2)
## LaCdW2 (PBE-GGA)

Data for a geometry-optimized LaCdW2 structure.

The structure in POSCAR format:
```
LaCdW2
1.0
5.227 0.000 0.000
0.000 2.903 0.005
0.000 0.402 5.523
Cd W La
1 2 1
direct
0.500 0.250 0.250 Cd
0.000 0.076 0.977 W
0.000 0.424 0.523 W
0.500 0.750 0.750 La
```

magnetic moment = 0.00 μB per cell
SG = P2/m, No. 10

(3)
## LaCdW2 (PBE-GGA)

Data for a geometry-optimized LaCdW2 structure.

The structure in POSCAR format:
```
LaCdW2
1.0
2.958 -0.005 0.000
-1.127 2.735 0.000
0.000 0.000 10.257
Cd W La
1 2 1
direct
0.000 0.000 0.471 Cd
0.000 0.000 0.033 W
0.500 0.500 0.227 W
0.500 0.500 0.769 La
```

magnetic moment = 0.00 μB per cell
SG = Cmm2, No. 35

(4)
## LaCdW2 (PBE-GGA)

Data for a geometry-optimized LaCdW2 structure.

The structure in POSCAR format:
```
LaCdW2
1.0
-3.406 -2.138 -3.967
-1.669 -5.346 0.738
0.165 4.694 3.139
Cd W La
1 2 1
direct
0.250 0.750 0.500 Cd
0.000 0.000 0.000 W
0.500 0.500 0.000 W
0.750 0.250 0.500 La
```

magnetic moment = 0.00 μB per cell
SG = I4/mmm, No. 139

(5)
## LaCd2W (PBE-GGA)

Data for a geometry-optimized LaCd2W structure.

The structure in POSCAR format:
```
LaCd2W
1.0
-4.835 0.508 1.086
-0.324 -4.225 0.536
0.976 0.449 4.134
Cd W La
2 1 1
direct
0.000 0.000 0.000 Cd
0.000 0.500 0.500 Cd
0.500 0.000 0.500 W
0.500 0.500 0.000 La
```

magnetic moment = 0.01 μB per cell
SG = P4/mmm, No. 123

(6)
## LaCd2W (PBE-GGA)

Data for a geometry-optimized LaCd2W structure.

The structure in POSCAR format:
```
LaCd2W
1.0
-0.195 -4.649 -3.196
2.126 -0.667 5.187
-2.831 -0.623 1.080
La W Cd
1 1 2
direct
0.500 0.000 0.500 La
0.000 0.500 0.500 W
0.000 0.000 0.000 Cd
0.500 0.500 0.000 Cd
```

magnetic moment = 0.32 μB per cell
SG = Cmmm, No. 65

(7)
## LaCd2W (PBE-GGA)

Data for a geometry-optimized LaCd2W structure.

The structure in POSCAR format:
```
LaCd2W
1.0
11.227 -0.019 -0.011
10.819 2.999 -0.011
10.819 1.463 2.618
Cd W La
2 1 1
direct
0.005 0.005 0.005 Cd
0.256 0.256 0.256 Cd
0.744 0.744 0.744 W
0.495 0.495 0.495 La
```

magnetic moment = 0.78 μB per cell
SG = R3m, No. 160

(8)
## LaCdW (PBE-GGA)

Data for a geometry-optimized LaCdW structure.

The structure in POSCAR format:
```
LaCdW
1.0
7.995 0.010 -0.010
7.454 2.890 0.009
0.541 0.079 2.879
Cd W La
1 1 1
direct
0.014 0.014 0.986 Cd
0.658 0.658 0.342 W
0.328 0.328 0.672 La
```

magnetic moment = 0.00 μB per cell
SG = I4mm, No. 107

(9)
## LaCdW4 (PBE-GGA)

Data for a geometry-optimized LaCdW4 structure.

The structure in POSCAR format:
```
LaCdW4
1.0
-3.431 -0.401 4.339
-4.001 -3.841 0.026
0.354 -4.350 3.423
La Cd W
1 1 4
direct
0.000 0.000 0.000 La
0.750 0.750 0.750 Cd
0.876 0.375 0.375 W
0.375 0.375 0.876 W
0.375 0.876 0.375 W
0.375 0.375 0.375 W
```

magnetic moment = 0.00 μB per cell
SG = F-43m, No. 216

(10)
## LaCdW2 (PBE-GGA)

Data for a geometry-optimized LaCdW2 structure.

The structure in POSCAR format:
```
LaCdW2
1.0
-2.836 2.249 0.466
-0.313 -1.112 3.462
4.263 4.965 1.979
Cd W La
1 2 1
direct
0.500 0.500 0.250 Cd
0.000 0.000 0.076 W
0.000 0.000 0.424 W
0.500 0.500 0.750 La
```

magnetic moment = 0.00 μB per cell
SG = P4/mmm, No. 123

(11)
## LaY2CdW (PBE-GGA)

Data for a geometry-optimized LaY2CdW structure.

The structure in POSCAR format:
```
LaY2CdW
1.0
5.561 0.000 0.000
0.000 4.861 0.000
0.000 0.000 5.561
Y Cd W La
2 1 1 1
direct
0.000 0.000 0.500 Y
0.500 0.000 0.000 Y
0.500 0.500 0.500 Cd
0.000 0.500 0.000 W
0.000 0.000 0.000 La
```

magnetic moment = 0.00 μB per cell
SG = P4/mmm, No. 123

(12)
## La4YCd (PBE-GGA)

Data for a geometry-optimized La4YCd structure.

The structure in POSCAR format:
```
La4YCd
1.0
-4.064 -5.228 0.673
-6.478 0.952 1.197
-4.491 -1.354 -4.722
La Y Cd
4 1 1
direct
0.876 0.375 0.375 La
0.375 0.375 0.876 La
0.375 0.876 0.375 La
0.375 0.375 0.375 La
0.750 0.750 0.750 Y
0.000 0.000 0.000 Cd
```

magnetic moment = 0.00 μB per cell
SG = F-43m, No. 216

(13)
## La2Y2Cd (PBE-GGA)

Data for a geometry-optimized La2Y2Cd structure.

The structure in POSCAR format:
```
La2Y2Cd
1.0
-1.704 5.051 -6.086
-1.325 -6.320 -4.875
-5.017 -0.019 1.389
Y Cd La
4 2 4
direct
0.164 0.664 0.500 Y
0.664 0.836 0.500 Y
0.836 0.336 0.500 Y
0.336 0.164 0.500 Y
0.000 0.000 0.000 Cd
0.500 0.500 0.000 Cd
0.369 0.869 0.000 La
0.869 0.631 0.000 La
0.631 0.131 0.000 La
0.131 0.369 0.000 La
```

magnetic moment = 0.00 μB per cell
SG = P4/mbm, No. 127

(14)
## La4YCd (PBE-GGA)

Data for a geometry-optimized La4YCd structure.

The structure in POSCAR format:
```
La4YCd
1.0
7.807 0.000 0.000
0.000 7.677 0.000
0.000 0.000 7.800
La Y Cd
8 2 2
direct
0.241 0.756 0.015 La
0.259 0.243 0.985 La
0.241 0.243 0.485 La
0.259 0.756 0.515 La
0.759 0.757 0.485 La
0.741 0.244 0.515 La
0.759 0.244 0.015 La
0.741 0.757 0.985 La
0.000 0.500 0.250 Y
0.500 0.500 0.750 Y
0.000 0.000 0.750 Cd
0.500 0.000 0.250 Cd
```

magnetic moment = 0.00 μB per cell
SG = Pnc2, No. 30

(15)
## La2Y3Cd4 (PBE-GGA)

Data for a geometry-optimized La2Y3Cd4 structure.

The structure in POSCAR format:
```
La2Y3Cd4
1.0
-1.498 5.967 3.301
-7.760 -0.310 -2.960
-1.915 -7.795 5.838
La Y Cd
4 6 8
direct
0.092 0.598 0.185 La
0.908 0.402 0.815 La
0.408 0.098 0.815 La
0.592 0.902 0.185 La
0.000 0.000 0.000 Y
0.500 0.500 0.000 Y
0.504 0.750 0.508 Y
0.996 0.250 0.492 Y
0.496 0.250 0.492 Y
0.004 0.750 0.508 Y
0.676 0.750 0.851 Cd
0.824 0.250 0.149 Cd
0.324 0.250 0.149 Cd
0.176 0.750 0.851 Cd
0.164 0.988 0.328 Cd
0.836 0.012 0.672 Cd
0.336 0.488 0.672 Cd
0.664 0.512 0.328 Cd
```

magnetic moment = 0.00 μB per cell
SG = Cmce, No. 64

(16)
## LaY6Cd (PBE-GGA)

Data for a geometry-optimized LaY6Cd structure.

The structure in POSCAR format:
```
LaY6Cd
1.0
-7.492 0.877 -4.106
-1.009 -5.521 -6.503
-4.622 -4.146 -1.436
La Y Cd
1 6 1
direct
0.500 0.500 0.500 La
0.958 0.448 0.833 Y
0.762 0.042 0.748 Y
0.448 0.238 0.271 Y
0.238 0.958 0.252 Y
0.042 0.552 0.167 Y
0.552 0.762 0.729 Y
0.000 0.000 0.000 Cd
```

magnetic moment = 0.01 μB per cell
SG = R-3, No. 148

(17)
## LaY2Cd2 (PBE-GGA)

Data for a geometry-optimized LaY2Cd2 structure.

The structure in POSCAR format:
```
LaY2Cd2
1.0
-3.191 -1.913 0.660
0.969 -3.143 -4.424
8.670 -8.090 7.648
La Y Cd
2 4 4
direct
0.852 0.750 0.705 La
0.148 0.250 0.295 La
0.047 0.750 0.094 Y
0.953 0.250 0.906 Y
0.236 0.750 0.471 Y
0.764 0.250 0.529 Y
0.642 0.750 0.283 Cd
0.358 0.250 0.717 Cd
0.454 0.750 0.907 Cd
0.546 0.250 0.093 Cd
```

magnetic moment = 0.00 μB per cell
SG = P2_1/m, No. 11

(18)
## LaY2Cd2 (PBE-GGA)

Data for a geometry-optimized LaY2Cd2 structure.

The structure in POSCAR format:
```
LaY2Cd2
1.0
9.127 0.000 0.000
0.000 9.127 0.000
0.000 0.000 3.467
Y Cd La
4 4 2
direct
0.369 0.869 0.000 Y
0.869 0.631 0.000 Y
0.631 0.131 0.000 Y
0.131 0.369 0.000 Y
0.168 0.668 0.500 Cd
0.668 0.832 0.500 Cd
0.832 0.332 0.500 Cd
0.332 0.168 0.500 Cd
0.000 0.000 0.000 La
0.500 0.500 0.000 La
```

magnetic moment = 1.36 μB per cell
SG = P4/mbm, No. 127

(19)
## LaY2Cd (PBE-GGA)

Data for a geometry-optimized LaY2Cd structure.

The structure in POSCAR format:
```
LaY2Cd
1.0
-0.037 -3.441 1.357
2.576 -0.997 -2.460
6.442 2.233 5.841
Y Cd La
2 1 1
direct
0.000 0.000 0.036 Y
0.000 0.000 0.464 Y
0.500 0.500 0.250 Cd
0.500 0.500 0.750 La
```

magnetic moment = 0.00 μB per cell
SG = P4/mmm, No. 123

(20)
## LaY2Cd (PBE-GGA)

Data for a geometry-optimized LaY2Cd structure.

The structure in POSCAR format:
```
LaY2Cd
1.0
-3.259 1.604 0.608
-1.605 -2.392 -2.294
-1.510 -5.738 7.040
Y Cd La
2 1 1
direct
0.000 0.000 0.011 Y
0.500 0.500 0.277 Y
0.000 0.000 0.485 Cd
0.500 0.500 0.727 La
```

magnetic moment = 0.00 μB per cell
SG = P4mm, No. 99

(21)
## La9YCd2 (PBE-GGA)

Data for a geometry-optimized La9YCd2 structure.

The structure in POSCAR format:
```
La9YCd2
1.0
-3.809 3.399 0.289
-1.239 -1.781 4.631
9.602 10.209 6.495
La Y Cd
9 1 2
direct
0.500 0.500 0.000 La
0.500 0.500 0.335 La
0.500 0.500 0.665 La
0.500 0.000 0.172 La
0.500 0.000 0.500 La
0.500 0.000 0.828 La
0.000 0.500 0.172 La
0.000 0.500 0.500 La
0.000 0.500 0.828 La
0.000 0.000 0.000 Y
0.000 0.000 0.339 Cd
0.000 0.000 0.661 Cd
```

magnetic moment = 0.00 μB per cell
SG = P4/mmm, No. 123

(22)
## La5Y4Cd (PBE-GGA)

Data for a geometry-optimized La5Y4Cd structure.

The structure in POSCAR format:
```
La5Y4Cd
1.0
3.761 0.000 0.000
0.000 3.761 0.000
0.000 0.000 24.099
La Y Cd
5 4 1
direct
0.500 0.500 0.087 La
0.500 0.500 0.295 La
0.500 0.500 0.500 La
0.500 0.500 0.705 La
0.500 0.500 0.913 La
0.000 0.000 0.193 Y
0.000 0.000 0.398 Y
0.000 0.000 0.602 Y
0.000 0.000 0.807 Y
0.000 0.000 0.000 Cd
```

magnetic moment = 0.00 μB per cell
SG = P4/mmm, No. 123

(23)
## LaY3Cd2 (PBE-GGA)

Data for a geometry-optimized LaY3Cd2 structure.

The structure in POSCAR format:
```
LaY3Cd2
1.0
-2.871 -1.789 1.549
0.333 -2.717 -2.520
8.003 -6.171 7.710
La Y Cd
1 3 2
direct
0.500 0.500 0.500 La
0.000 0.000 0.000 Y
0.000 0.000 0.702 Y
0.000 0.000 0.298 Y
0.500 0.500 0.851 Cd
0.500 0.500 0.149 Cd
```

magnetic moment = 0.01 μB per cell
SG = P4/mmm, No. 123

(24)
## LaY4Cd (PBE-GGA)

Data for a geometry-optimized LaY4Cd structure.

The structure in POSCAR format:
```
LaY4Cd
1.0
-2.725 1.192 -2.113
1.661 -1.401 -2.931
-6.847 -12.201 1.950
La Y Cd
1 4 1
direct
0.000 0.000 0.000 La
0.500 0.500 0.182 Y
0.000 0.000 0.642 Y
0.000 0.000 0.358 Y
0.500 0.500 0.818 Y
0.500 0.500 0.500 Cd
```

magnetic moment = 0.00 μB per cell
SG = P4/mmm, No. 123

(25)
## LaY2Cd2 (PBE-GGA)

Data for a geometry-optimized LaY2Cd2 structure.

The structure in POSCAR format:
```
LaY2Cd2
1.0
-1.025 3.459 3.379
-2.736 -3.263 2.510
3.333 -1.667 6.333
Y Cd La
2 2 1
direct
0.750 0.250 0.500 Y
0.250 0.750 0.500 Y
0.396 0.396 0.208 Cd
0.604 0.604 0.792 Cd
0.000 0.000 0.000 La
```

magnetic moment = 0.00 μB per cell
SG = I4/mmm, No. 139

(26)
## La2Y2Cd (PBE-GGA)

Data for a geometry-optimized La2Y2Cd structure.

The structure in POSCAR format:
```
La2Y2Cd
1.0
-4.411 -7.309 1.275
-0.935 -3.618 5.246
-8.822 0.066 2.432
La Y Cd
4 4 2
direct
0.733 0.000 0.432 La
0.594 0.000 0.124 La
0.406 0.000 0.876 La
0.267 0.000 0.568 La
0.669 0.368 0.724 Y
0.331 0.632 0.276 Y
0.037 0.632 0.724 Y
0.963 0.368 0.276 Y
0.159 0.683 0.000 Cd
0.841 0.317 0.000 Cd
```

magnetic moment = 0.00 μB per cell
SG = C2/m, No. 12

| no. | ΔH_f (0 K) (kcal/mol of atoms) | density of states at the Fermi level (states/eV/f.u.) |
| --- | --- | --- |
| 1 | 19.2 | 3.79 |
| 2 | 18.9 | 3.36 |
| 3 | 9.7 | 2.39 |
| 4 | 22.9 | 4.85 |
| 5 | 12.4 | 3.78 |
| 6 | 12.1 | 2.79 |
| 7 | 11.7 | 2.48 |
| 8 | 12.5 | 3.45 |
| 9 | 13.0 | 7.31 |
| 10 | 20.1 | 4.26 |
| 11 | 30.1 | 4.67 |
| 12 | 5.2 | 9.42 |
| 13 | 3.3 | 6.33 |
| 14 | 7.5 | 9.43 |
| 15 | -4.4 | 9.03 |
| 16 | 0.9 | 11.49 |
| 17 | -6.0 | 5.62 |
| 18 | -4.1 | 7.92 |
| 19 | -3.6 | 6.53 |
| 20 | -3.3 | 5.22 |
| 21 | -1.8 | 16.56 |
| 22 | -0.9 | 13.73 |
| 23 | -5.1 | 8.51 |
| 24 | -2.2 | 9.02 |
| 25 | -2.1 | 10.25 |
| 26 | -1.3 | 5.97 |